1.
KLi2IrCl8 | PBE | relaxed

The structure belongs to space group P-1 (No. 2); the cell edges are 5.559, 6.075 and 8.960 Å and the angles 91.12°, 102.98° and 90.93°. The inequivalent atoms are K at (0.000, 0.000, 0.000), Li at (0.459, 0.471, 0.295), Ir at (0.000, 0.000, 0.500), Cl at (0.189, 0.825, 0.324), Cl at (0.236, 0.321, 0.494), Cl at (0.261, 0.491, 0.017) and Cl at (0.292, 0.870, 0.712).

As for the uncorrected formation energy: -1.027 eV/atom. As for the volume: 24.56 A^3/atom. The value obtained for the total magnetization is 1.1 μB per cell. The value obtained for the density is 3.0 g/cm³. The total energy comes out at -3.4070 eV/atom.

***

2.
NaLaCl3 | PBE | relaxed

The structure belongs to space group C2/m (No. 12); the cell edges are 14.798, 3.747 and 10.972 Å and the angles 90.00°, 109.87° and 90.00°. The inequivalent atoms are Na at (0.232, 0.000, 0.156), La at (0.018, 0.000, 0.344), Cl at (0.115, 0.500, 0.574), Cl at (0.124, 0.500, 0.238) and Cl at (0.143, 0.000, 0.885).

As for the uncorrected formation energy: -1.944 eV/atom. As for the volume: 28.61 A^3/atom. The value obtained for the total magnetization is 1.2 μB per cell. The value obtained for the density is 3.1 g/cm³. The offset from the most stable computed form is 0 meV/atom. The total energy comes out at -4.3009 eV/atom.

***

3.
RhS2NCl | PBE | relaxed

The structure belongs to space group P4/mmm (No. 123); the cell edges are 4.574, 4.574 and 4.723 Å and the angles 90.00°, 90.00° and 90.00°. The inequivalent atoms are Rh at (0.000, 0.000, 0.000), S at (0.000, 0.500, 0.000), N at (0.500, 0.500, 0.500) and Cl at (0.000, 0.000, 0.500).

As for the uncorrected formation energy: 1.576 eV/atom. As for the volume: 19.76 A^3/atom. The value obtained for the total magnetization is 0.0 μB per cell. The value obtained for the density is 3.6 g/cm³. The offset from the most stable computed form is 724 meV/atom. The total energy comes out at -3.5799 eV/atom.

***

4.
CsRbNa2In | PBE | relaxed

The structure belongs to space group P4/mmm (No. 123); the cell edges are 6.368, 6.368 and 7.052 Å and the angles 90.00°, 90.00° and 90.00°. The inequivalent atoms are Cs at (0.000, 0.000, 0.000), Rb at (0.500, 0.500, 0.000), Na at (0.000, 0.500, 0.500) and In at (0.500, 0.500, 0.500).

As for the volume: 57.20 A^3/atom. The value obtained for the total magnetization is 0.0 μB per cell. The value obtained for the density is 2.2 g/cm³. The offset from the most stable computed form is 0 meV/atom. The total energy comes out at -1.3922 eV/atom. The formation energy is 47 meV per atom.

***

5.
Cr4Co4Ni5 | PBE | relaxed

The structure belongs to space group I4/m (No. 87); the cell edges are 9.018, 9.018 and 3.500 Å and the angles 90.00°, 90.00° and 90.00°. The inequivalent atoms are Cr at (0.160, 0.765, 0.000), Co at (0.072, 0.384, 0.000), Ni at (0.000, 0.000, 0.000) and Ni at (0.035, 0.192, 0.500).

As for the volume: 10.95 A^3/atom. The value obtained for the total magnetization is 10.2 μB per cell. The value obtained for the density is 8.6 g/cm³. The total energy comes out at -7.3099 eV/atom. The formation energy is 61 meV per atom.

***

6.
PrScTe2S | PBE | relaxed

The structure belongs to space group P4/nmm (No. 129, origin choice 2); the cell edges are 4.369, 4.369 and 15.228 Å and the angles 90.00°, 90.00° and 90.00°. The inequivalent atoms are Pr at (0.250, 0.250, 0.115), Sc at (0.250, 0.250, 0.602), Te at (0.250, 0.250, 0.407), Te at (0.250, 0.250, 0.785) and S at (0.250, 0.750, 0.000).

As for the uncorrected formation energy: -1.379 eV/atom. As for the volume: 29.07 A^3/atom. The value obtained for the total magnetization is 0.0 μB per cell. The value obtained for the density is 5.4 g/cm³. The total energy comes out at -5.6836 eV/atom.

***

7.
AlAu3 | PBE | relaxed

The structure belongs to space group P-6m2 (No. 187); the cell edges are 3.1943, 3.1943 and 8.1617 Å and the angles 90.00°, 90.00° and 120.00°. The inequivalent atoms are Al at (0.0000, 0.0000, 0.0000), Au at (0.0000, 0.0000, 0.5000) and Au at (0.6667, 0.3333, 0.2254).

As for the volume: 18.03 A^3/atom. The value obtained for the total magnetization is 0.0 μB per cell. The value obtained for the density is 14.2 g/cm³. The total energy comes out at -3.5578 eV/atom. The formation energy is -164 meV per atom.

***

8.
PrDyTmTl | PBE | relaxed

The structure belongs to space group F-43m (No. 216); the cell edges are 7.812, 7.812 and 7.812 Å and the angles 90.00°, 90.00° and 90.00°. The inequivalent atoms are Pr at (0.000, 0.000, 0.000), Dy at (0.000, 0.000, 0.500), Tm at (0.250, 0.250, 0.750) and Tl at (0.250, 0.250, 0.250).

As for the volume: 29.79 A^3/atom. The value obtained for the total magnetization is 4.3 μB per cell. The value obtained for the density is 9.4 g/cm³. The offset from the most stable computed form is 123 meV/atom. The total energy comes out at -4.1085 eV/atom. The formation energy is -54 meV per atom.

***

9.
Li2CrTc | PBE | relaxed

The structure belongs to space group P2/m (No. 10); the cell edges are 3.778, 3.005 and 4.653 Å and the angles 90.00°, 90.11° and 90.00°. The inequivalent atoms are Li at (0.000, 0.000, 0.000), Li at (0.500, 0.500, 0.000), Cr at (0.000, 0.500, 0.500) and Tc at (0.500, 0.000, 0.500).

As for the volume: 13.21 A^3/atom. The value obtained for the total magnetization is 0.0 μB per cell. The value obtained for the density is 5.2 g/cm³. The offset from the most stable computed form is 82 meV/atom. The total energy comes out at -5.6332 eV/atom. The formation energy is 321 meV per atom.

***

10.
ZrZnIrPt | PBE | relaxed

The structure belongs to space group F-43m (No. 216); the cell edges are 6.423, 6.423 and 6.423 Å and the angles 90.00°, 90.00° and 90.00°. The inequivalent atoms are Zr at (0.000, 0.000, 0.000), Zn at (0.000, 0.000, 0.500), Ir at (0.250, 0.250, 0.250) and Pt at (0.250, 0.250, 0.750).

As for the volume: 16.56 A^3/atom. The value obtained for the total magnetization is 0.0 μB per cell. The value obtained for the density is 13.6 g/cm³. The offset from the most stable computed form is 88 meV/atom. The total energy comes out at -6.8656 eV/atom. The formation energy is -685 meV per atom.

***

11.
Sm2InBi3 | PBE | relaxed

The structure belongs to space group Immm (No. 71); the cell edges are 4.517, 6.344 and 14.265 Å and the angles 90.00°, 90.00° and 90.00°. The inequivalent atoms are Sm at (0.000, 0.000, 0.165), In at (0.000, 0.000, 0.500), Bi at (0.000, 0.500, 0.172) and Bi at (0.000, 0.500, 0.500).

As for the volume: 34.07 A^3/atom. The value obtained for the total magnetization is 0.0 μB per cell. The value obtained for the density is 8.5 g/cm³. The total energy comes out at -4.4255 eV/atom. The formation energy is -456 meV per atom.

***

12.
GeAsPd | PBE | relaxed

The structure belongs to space group C2/m (No. 12); the cell edges are 12.539, 3.288 and 5.785 Å and the angles 90.00°, 116.11° and 90.00°. The inequivalent atoms are Ge at (0.144, 0.000, 0.129), As at (0.144, 0.000, 0.651) and Pd at (0.008, 0.500, 0.254).

As for the volume: 17.84 A^3/atom. The value obtained for the total magnetization is 0.0 μB per cell. The value obtained for the density is 7.9 g/cm³. The offset from the most stable computed form is 97 meV/atom. The total energy comes out at -4.9148 eV/atom. The formation energy is -95 meV per atom.

***

13.
NbCr2CoPd | PBE | relaxed

The structure belongs to space group P4/mmm (No. 123); the cell edges are 4.408, 4.408 and 4.474 Å and the angles 90.00°, 90.00° and 90.00°. The inequivalent atoms are Nb at (0.000, 0.000, 0.000), Cr at (0.000, 0.500, 0.500), Co at (0.500, 0.500, 0.000) and Pd at (0.500, 0.500, 0.500).

As for the volume: 17.39 A^3/atom. The value obtained for the total magnetization is 0.0 μB per cell. The value obtained for the density is 6.9 g/cm³. The total energy comes out at -6.5938 eV/atom. The formation energy is 1729 meV per atom.

***

14.
MnSi2Mo | PBE | relaxed

The structure belongs to space group R-3m (No. 166, hexagonal axes); the cell edges are 2.7638, 2.7638 and 23.9103 Å and the angles 90.00°, 90.00° and 120.00°. The inequivalent atoms are Mn at (0.0000, 0.0000, 0.0000), Si at (0.0000, 0.0000, 0.2581) and Mo at (0.0000, 0.0000, 0.5000).

As for the uncorrected formation energy: -0.084 eV/atom. As for the volume: 13.18 A^3/atom. The value obtained for the total magnetization is 2.4 μB per cell. The value obtained for the density is 6.5 g/cm³. The total energy comes out at -7.7954 eV/atom.

***

15.
TbEr2Mg | PBE | relaxed

The structure belongs to space group C2/m (No. 12); the cell edges are 7.095, 7.103 and 9.922 Å and the angles 90.00°, 110.87° and 90.00°. The inequivalent atoms are Tb at (0.130, 0.000, 0.260), Er at (0.131, 0.500, 0.263), Er at (0.250, 0.250, 0.000) and Mg at (0.000, 0.250, 0.500).

As for the volume: 29.20 A^3/atom. The value obtained for the total magnetization is 0.0 μB per cell. The value obtained for the density is 7.4 g/cm³. The offset from the most stable computed form is 0 meV/atom. The total energy comes out at -3.8657 eV/atom. The formation energy is -28 meV per atom.

***

16.
Pm2PrInC | PBE | relaxed

The structure belongs to space group P4/mmm (No. 123); the cell edges are 5.093, 5.093 and 5.170 Å and the angles 90.00°, 90.00° and 90.00°. The inequivalent atoms are Pm at (0.000, 0.500, 0.000), Pr at (0.000, 0.000, 0.500), In at (0.500, 0.500, 0.500) and C at (0.000, 0.000, 0.000).

As for the volume: 26.81 A^3/atom. The value obtained for the total magnetization is 0.0 μB per cell. The value obtained for the density is 6.9 g/cm³. The total energy comes out at -5.5831 eV/atom. The formation energy is -334 meV per atom.

***

17.
Tb3IrAu | PBE | relaxed

The structure belongs to space group P-1 (No. 2); the cell edges are 5.553, 6.740 and 7.984 Å and the angles 101.92°, 99.59° and 113.60°. The inequivalent atoms are Tb at (0.049, 0.212, 0.318), Tb at (0.319, 0.856, 0.145), Tb at (0.327, 0.459, 0.766), Ir at (0.237, 0.175, 0.981) and Au at (0.379, 0.740, 0.492).

As for the volume: 25.74 A^3/atom. The value obtained for the total magnetization is 0.0 μB per cell. The value obtained for the density is 11.2 g/cm³. The offset from the most stable computed form is 66 meV/atom. The total energy comes out at -5.9029 eV/atom. The formation energy is -697 meV per atom.

***

18.
Zn4SiBr | PBE | relaxed

The structure belongs to space group F-43m (No. 216); the cell edges are 7.590, 7.590 and 7.590 Å and the angles 90.00°, 90.00° and 90.00°. The inequivalent atoms are Zn at (0.124, 0.124, 0.124), Si at (0.250, 0.250, 0.750) and Br at (0.000, 0.000, 0.500).

As for the uncorrected formation energy: 0.315 eV/atom. As for the volume: 18.22 A^3/atom. The value obtained for the total magnetization is 0.0 μB per cell. The value obtained for the density is 5.6 g/cm³. The total energy comes out at -1.7171 eV/atom.

***

19.
MnCdCu2 | PBE | relaxed

The structure belongs to space group I-42d (No. 122); the cell edges are 3.788, 3.788 and 18.289 Å and the angles 90.00°, 90.00° and 90.00°. The inequivalent atoms are Mn at (0.000, 0.000, 0.000), Cd at (0.000, 0.000, 0.500) and Cu at (0.237, 0.250, 0.125).

As for the volume: 16.40 A^3/atom. The value obtained for the total magnetization is 14.9 μB per cell. The value obtained for the density is 7.5 g/cm³. The total energy comes out at -4.0799 eV/atom. The formation energy is 489 meV per atom.

***

20.
Be2CuNi | PBE | relaxed

The structure belongs to space group Immm (No. 71); the cell edges are 2.396, 4.140 and 8.718 Å and the angles 90.00°, 90.00° and 90.00°. The inequivalent atoms are Be at (0.000, 0.000, 0.246), Cu at (0.000, 0.000, 0.500) and Ni at (0.000, 0.000, 0.000).

As for the volume: 10.81 A^3/atom. The value obtained for the total magnetization is 0.0 μB per cell. The value obtained for the density is 5.4 g/cm³. The total energy comes out at -3.9722 eV/atom. The formation energy is 360 meV per atom.